{
  "formula": "Rb2BRuI6",
  "functional": "PBE",
  "state": "relaxed",
  "total_magnetization_mub_per_atom": 0.100,
  "spacegroup": "I4/mmm (139)",
  "volume_a3_per_cell": 352.09,
  "energy_ev_per_atom": -2.934,
  "formation_energy_uncorrected_ev_per_atom": -0.22,
  "lattice_angstrom": [[-3.698, 2.615, 6.557], [4.092, -5.238, 4.397], [4.198, 2.450, 6.234]],
  "species": ["B", "I", "I", "I", "I", "I", "I", "Rb", "Rb", "Ru"],
  "fractional_positions": [[0.500, 0.500, 0.000], [0.752, 0.752, 0.497], [0.756, 0.756, 0.000], [0.244, 0.244, 0.000], [0.244, 0.756, 0.000], [0.756, 0.244, 0.000], [0.248, 0.248, 0.503], [0.750, 0.250, 0.500], [0.250, 0.750, 0.500], [0.000, 0.000, 0.000]]
}